# 1
{"formula": "Mn2InCl", "functional": "PBE", "state": "optimized geometry", "sg": "I-42d (122)", "energy_ev_per_atom": -5.43, "e_form_raw_ev_per_atom": 0.30, "density_g_cm3": 5.5, "lattice_angstrom": [[-6.393, 3.101, -0.842], [-1.808, -5.021, -4.766], [-5.249, -2.709, -0.525]], "species": ["Mn", "Mn", "In", "Cl", "Mn", "Cl", "Mn", "In"], "fractional_positions": [[0.591, 0.125, 0.250], [0.375, 0.409, 0.750], [0.750, 0.250, 0.500], [0.500, 0.500, 0.000], [0.875, 0.841, 0.750], [0.250, 0.750, 0.500], [0.159, 0.625, 0.250], [0.000, 0.000, 0.000]]}

# 2
{"formula": "YNp3Tl3Se8", "functional": "PBE", "state": "optimized geometry", "sg": "R-3m (166)", "energy_ev_per_atom": -6.43, "e_form_raw_ev_per_atom": -1.08, "density_g_cm3": 7.2, "lattice_angstrom": [[-7.284, -3.559, 2.071], [6.125, -4.632, -3.321], [1.088, 2.802, 8.643]], "species": ["Se", "Se", "Tl", "Np", "Y", "Tl", "Np", "Se", "Se", "Tl", "Se", "Se", "Np", "Se", "Se"], "fractional_positions": [[0.765, 0.033, 0.298], [0.268, 0.033, 0.298], [0.000, 0.000, 0.000], [0.500, 0.000, 0.500], [0.000, 0.000, 0.500], [0.500, 0.500, 0.000], [0.500, 0.500, 0.500], [0.734, 0.469, 0.703], [0.235, 0.470, 0.702], [0.000, 0.500, 0.000], [0.235, 0.967, 0.702], [0.732, 0.967, 0.702], [0.000, 0.500, 0.500], [0.266, 0.531, 0.297], [0.765, 0.530, 0.298]]}

# 3
{"formula": "Tb3Tm3CuTc2", "functional": "PBE", "state": "optimized geometry", "sg": "P-62m (189)", "delta_e_f_ev_per_atom": -0.0224, "energy_ev_per_atom": -5.81, "density_g_cm3": 9.7, "lattice_angstrom": [[3.819, 0.000, 0.000], [0.000, 8.022, 0.000], [0.000, -4.011, 6.947]], "species": ["Tm", "Tc", "Tm", "Tb", "Tc", "Tb", "Tb", "Cu", "Tm"], "fractional_positions": [[0.000, 0.000, 0.406], [0.500, 0.333, 0.667], [0.000, 0.406, 0.000], [0.500, 0.266, 0.266], [0.500, 0.667, 0.333], [0.500, 0.000, 0.734], [0.500, 0.734, 0.000], [0.000, 0.000, 0.000], [0.000, 0.594, 0.594]]}

# 4
{"formula": "ScB2I", "functional": "PBE", "state": "optimized geometry", "sg": "Fm-3m (225)", "energy_ev_per_atom": -3.83, "e_form_raw_ev_per_atom": 1.48, "density_g_cm3": 5.0, "lattice_angstrom": [[0.000, 3.179, 3.179], [3.179, 0.000, 3.179], [3.179, 3.179, 0.000]], "species": ["B", "I", "Sc", "B"], "fractional_positions": [[0.250, 0.250, 0.250], [0.500, 0.500, 0.500], [0.000, 0.000, 0.000], [0.750, 0.750, 0.750]]}

# 5
{"formula": "LiGaC", "functional": "PBE", "state": "optimized geometry", "sg": "Pm (6)", "delta_e_f_ev_per_atom": 0.1375, "energy_ev_per_atom": -4.58, "density_g_cm3": 3.2, "lattice_angstrom": [[-1.091, -0.518, -2.988], [2.567, -2.017, -0.587], [-4.627, -6.633, 2.561]], "species": ["Ga", "Li", "C", "C", "Ga", "Li"], "fractional_positions": [[0.541, 0.500, 0.370], [0.612, 0.000, 0.636], [0.093, 0.000, 0.813], [0.084, 0.000, 0.962], [0.061, 0.000, 0.195], [0.587, 0.500, 0.921]]}

# 6
{"formula": "Tb2Nd5Sc", "functional": "PBE", "state": "optimized geometry", "sg": "Immm (71)", "delta_e_f_ev_per_atom": 0.0538, "energy_ev_per_atom": -4.88, "density_g_cm3": 6.8, "lattice_angstrom": [[3.564, 0.349, 0.034], [-0.943, 10.088, -4.745], [1.918, -2.077, 8.392]], "species": ["Nd", "Tb", "Tb", "Nd", "Nd", "Sc", "Nd", "Nd"], "fractional_positions": [[0.371, 0.901, 0.259], [0.254, 0.745, 0.490], [0.746, 0.255, 0.510], [0.629, 0.099, 0.741], [0.371, 0.358, 0.259], [0.000, 0.000, 0.000], [0.629, 0.642, 0.741], [0.000, 0.500, 0.000]]}

# 7
{"formula": "MgFe2Br", "functional": "PBE", "state": "optimized geometry", "sg": "Fm-3m (225)", "energy_ev_per_atom": -4.26, "e_form_raw_ev_per_atom": 0.79, "density_g_cm3": 5.6, "lattice_angstrom": [[0.000, 3.178, 3.178], [3.178, 0.000, 3.178], [3.178, 3.178, 0.000]], "species": ["Mg", "Br", "Fe", "Fe"], "fractional_positions": [[0.000, 0.000, 0.000], [0.500, 0.500, 0.500], [0.250, 0.250, 0.250], [0.750, 0.750, 0.750]]}

# 8
{"formula": "CaLuPdAu", "functional": "PBE", "state": "optimized geometry", "sg": "F-43m (216)", "delta_e_f_ev_per_atom": -0.8024, "energy_ev_per_atom": -4.55, "density_g_cm3": 9.9, "lattice_angstrom": [[-0.063, -4.972, 0.115], [4.219, -2.524, 0.755], [0.728, -2.398, 4.296]], "species": ["Au", "Pd", "Ca", "Lu"], "fractional_positions": [[0.500, 0.500, 0.500], [0.000, 0.000, 0.000], [0.250, 0.250, 0.250], [0.750, 0.750, 0.750]]}

# 9
{"formula": "YSi2BF", "functional": "PBE", "state": "optimized geometry", "sg": "P4/mmm (123)", "energy_ev_per_atom": -5.01, "e_form_raw_ev_per_atom": 0.16, "density_g_cm3": 3.7, "lattice_angstrom": [[4.186, 0.000, 0.000], [0.000, 4.529, 0.000], [0.000, 0.000, 4.186]], "species": ["B", "F", "Si", "Si", "Y"], "fractional_positions": [[0.000, 0.500, 0.000], [0.000, 0.000, 0.000], [0.500, 0.000, 0.000], [0.000, 0.000, 0.500], [0.500, 0.500, 0.500]]}

# 10
{"formula": "CaAc2TmSe4", "functional": "PBE", "state": "optimized geometry", "sg": "P2/m (10)", "energy_ev_per_atom": -5.41, "e_form_raw_ev_per_atom": -1.83, "density_g_cm3": 7.3, "lattice_angstrom": [[-3.015, 0.492, -2.860], [4.109, -3.414, -4.919], [-4.303, -5.295, 3.625]], "species": ["Se", "Se", "Tm", "Ac", "Se", "Se", "Ca", "Ac"], "fractional_positions": [[0.500, 0.234, 0.217], [0.500, 0.766, 0.783], [0.000, 0.000, 0.000], [0.500, 0.000, 0.500], [0.000, 0.747, 0.221], [0.000, 0.253, 0.779], [0.500, 0.500, 0.000], [0.000, 0.500, 0.500]]}

# 11
{"formula": "TiAlIn2Se", "functional": "PBE", "state": "optimized geometry", "sg": "P4/mmm (123)", "energy_ev_per_atom": -3.60, "e_form_raw_ev_per_atom": 0.52, "density_g_cm3": 4.4, "lattice_angstrom": [[-2.656, 1.224, 4.663], [1.780, -3.958, 2.053], [4.367, 2.865, 1.736]], "species": ["In", "Se", "In", "Ti", "Al"], "fractional_positions": [[0.000, 0.000, 0.500], [0.000, 0.000, 0.000], [0.500, 0.000, 0.000], [0.000, 0.500, 0.000], [0.500, 0.500, 0.500]]}

# 12
{"formula": "Sm2Ti3Si4", "functional": "PBE", "state": "optimized geometry", "sg": "P2_1/c (14)", "energy_ev_per_atom": -6.85, "e_form_raw_ev_per_atom": -0.76, "density_g_cm3": 5.6, "lattice_angstrom": [[-1.809, -5.340, 4.042], [7.113, 0.294, -0.380], [0.127, 4.266, 5.693]], "species": ["Sm", "Sm", "Si", "Si", "Si", "Si", "Si", "Ti", "Ti", "Si", "Ti", "Si", "Ti", "Ti", "Ti", "Sm", "Sm", "Si"], "fractional_positions": [[0.933, 0.812, 0.833], [0.067, 0.188, 0.167], [0.131, 0.502, 0.874], [0.631, 0.502, 0.626], [0.869, 0.498, 0.126], [0.376, 0.088, 0.958], [0.624, 0.912, 0.042], [0.750, 0.741, 0.325], [0.250, 0.741, 0.175], [0.124, 0.912, 0.458], [0.750, 0.259, 0.825], [0.369, 0.498, 0.374], [0.250, 0.259, 0.675], [0.500, 0.500, 0.000], [0.000, 0.500, 0.500], [0.433, 0.812, 0.667], [0.567, 0.188, 0.333], [0.876, 0.088, 0.542]]}

# 13
{"formula": "Hg2OsCl", "functional": "PBE", "state": "optimized geometry", "sg": "F-43m (216)", "energy_ev_per_atom": -2.26, "e_form_raw_ev_per_atom": 1.16, "density_g_cm3": 13.2, "lattice_angstrom": [[-4.231, -2.252, -0.374], [-1.312, -3.217, 3.323], [-3.551, 1.030, 3.072]], "species": ["Hg", "Hg", "Os", "Cl"], "fractional_positions": [[0.250, 0.250, 0.250], [0.000, 0.000, 0.000], [0.750, 0.750, 0.750], [0.500, 0.500, 0.500]]}

# 14
{"formula": "KHg6Bi", "functional": "PBE", "state": "optimized geometry", "sg": "Amm2 (38)", "delta_e_f_ev_per_atom": -0.0924, "energy_ev_per_atom": -0.94, "density_g_cm3": 10.3, "lattice_angstrom": [[5.451, 0.000, 0.000], [0.000, 6.541, -0.760], [0.000, -0.345, 6.576]], "species": ["Hg", "Hg", "Hg", "Hg", "Hg", "Hg", "K", "Bi"], "fractional_positions": [[0.000, 0.372, 0.186], [0.000, 0.814, 0.628], [0.000, 0.872, 0.128], [0.500, 0.217, 0.410], [0.000, 0.322, 0.678], [0.500, 0.590, 0.783], [0.500, 0.101, 0.899], [0.500, 0.710, 0.290]]}

# 15
{"formula": "TlAgPdPb", "functional": "PBE", "state": "optimized geometry", "sg": "F-43m (216)", "delta_e_f_ev_per_atom": 0.0309, "energy_ev_per_atom": -3.50, "density_g_cm3": 11.8, "lattice_angstrom": [[-1.774, -2.165, 4.141], [3.134, -2.225, 3.195], [0.886, 2.053, 4.470]], "species": ["Pb", "Pd", "Tl", "Ag"], "fractional_positions": [[0.000, 0.000, 0.000], [0.750, 0.750, 0.750], [0.500, 0.500, 0.500], [0.250, 0.250, 0.250]]}

# 16
{"formula": "SrPr3Dy2Te6", "functional": "PBE", "state": "optimized geometry", "sg": "C2/m (12)", "energy_ev_per_atom": -5.09, "e_form_raw_ev_per_atom": -1.42, "density_g_cm3": 6.9, "lattice_angstrom": [[4.463, 0.000, 0.000], [0.000, 9.087, 0.251], [-2.231, -2.697, 9.461]], "species": ["Te", "Te", "Pr", "Pr", "Te", "Te", "Dy", "Sr", "Te", "Te", "Pr", "Dy"], "fractional_positions": [[0.993, 0.745, 0.986], [0.669, 0.572, 0.338], [0.161, 0.819, 0.322], [0.839, 0.181, 0.678], [0.670, 0.091, 0.341], [0.007, 0.255, 0.014], [0.831, 0.662, 0.662], [0.500, 0.000, 0.000], [0.331, 0.428, 0.662], [0.330, 0.909, 0.659], [0.500, 0.500, 0.000], [0.169, 0.338, 0.338]]}

# 17
{"formula": "Dy2Er8Sc", "functional": "PBE", "state": "optimized geometry", "sg": "C2/m (12)", "delta_e_f_ev_per_atom": 0.1089, "energy_ev_per_atom": -4.62, "density_g_cm3": 8.4, "lattice_angstrom": [[5.372, 0.000, 0.000], [0.000, 8.268, -0.237], [-2.686, -3.761, 7.687]], "species": ["Sc", "Er", "Er", "Er", "Er", "Dy", "Dy", "Er", "Er", "Er", "Er"], "fractional_positions": [[0.500, 0.000, 0.000], [0.384, 0.567, 0.768], [0.844, 0.810, 0.688], [0.015, 0.722, 0.031], [0.616, 0.433, 0.232], [0.797, 0.341, 0.594], [0.203, 0.659, 0.406], [0.156, 0.190, 0.312], [0.985, 0.278, 0.969], [0.339, 0.112, 0.678], [0.661, 0.888, 0.322]]}

# 18
{"formula": "NbCu3Ni", "functional": "PBE", "state": "optimized geometry", "sg": "Pm-3m (221)", "delta_e_f_ev_per_atom": 0.9339, "energy_ev_per_atom": -4.69, "density_g_cm3": 7.1, "lattice_angstrom": [[4.309, 0.000, 0.000], [0.000, 4.309, 0.000], [0.000, 0.000, 4.309]], "species": ["Cu", "Cu", "Cu", "Ni", "Nb"], "fractional_positions": [[0.000, 0.000, 0.500], [0.000, 0.500, 0.000], [0.500, 0.000, 0.000], [0.000, 0.000, 0.000], [0.500, 0.500, 0.500]]}

# 19
{"formula": "Pm3Be2InPd9", "functional": "PBE", "state": "optimized geometry", "sg": "P-3m1 (164)", "delta_e_f_ev_per_atom": -0.6382, "energy_ev_per_atom": -5.38, "density_g_cm3": 8.7, "lattice_angstrom": [[5.936, 0.000, 0.000], [-2.968, 5.141, 0.000], [0.000, 0.000, 9.553]], "species": ["In", "Pd", "Pd", "Pd", "Pm", "Be", "Pd", "Pd", "Pd", "Pd", "Pd", "Pm", "Pd", "Be", "Pm"], "fractional_positions": [[0.000, 0.000, 0.500], [0.839, 0.677, 0.724], [0.161, 0.323, 0.276], [0.839, 0.161, 0.724], [0.667, 0.333, 0.300], [0.333, 0.667, 0.146], [0.677, 0.839, 0.276], [0.161, 0.839, 0.276], [0.323, 0.161, 0.724], [0.500, 0.500, 0.000], [0.500, 0.000, 0.000], [0.333, 0.667, 0.700], [0.000, 0.500, 0.000], [0.667, 0.333, 0.854], [0.000, 0.000, 0.000]]}

# 20
{"formula": "Ti2InTe", "functional": "PBE", "state": "optimized geometry", "sg": "I-42d (122)", "energy_ev_per_atom": -5.21, "e_form_raw_ev_per_atom": 0.21, "density_g_cm3": 6.2, "lattice_angstrom": [[-2.028, -3.392, -1.610], [1.282, -2.346, 3.327], [-8.593, -0.312, 5.827]], "species": ["In", "Ti", "Te", "Ti", "Te", "Ti", "In", "Ti"], "fractional_positions": [[0.500, 0.500, 0.000], [0.122, 0.625, 0.250], [0.000, 0.000, 0.000], [0.375, 0.372, 0.750], [0.750, 0.250, 0.500], [0.875, 0.878, 0.750], [0.250, 0.750, 0.500], [0.628, 0.125, 0.250]]}

# 21
{"formula": "PdPtOF2", "functional": "PBE", "state": "optimized geometry", "sg": "P4/mmm (123)", "energy_ev_per_atom": -3.91, "e_form_raw_ev_per_atom": 0.08, "density_g_cm3": 8.4, "lattice_angstrom": [[-4.137, -0.618, 0.384], [0.721, -3.792, 1.659], [0.097, 1.607, 3.632]], "species": ["O", "Pt", "F", "Pd", "F"], "fractional_positions": [[0.000, 0.000, 0.500], [0.500, 0.500, 0.500], [0.000, 0.500, 0.000], [0.000, 0.000, 0.000], [0.500, 0.000, 0.000]]}

# 22
{"formula": "NaNd4Se6", "functional": "PBE", "state": "optimized geometry", "sg": "R-3c (167)", "energy_ev_per_atom": -5.45, "e_form_raw_ev_per_atom": -1.70, "density_g_cm3": 6.3, "lattice_angstrom": [[-3.804, 4.905, 5.480], [-6.775, -0.143, -4.758], [-2.879, -6.599, 4.090]], "species": ["Se", "Se", "Nd", "Se", "Se", "Se", "Nd", "Se", "Se", "Nd", "Se", "Nd", "Na", "Nd", "Se", "Na", "Nd", "Nd", "Se", "Se", "Se", "Nd"], "fractional_positions": [[0.561, 0.179, 0.587], [0.087, 0.321, 0.061], [0.860, 0.250, 0.360], [0.439, 0.821, 0.413], [0.821, 0.587, 0.561], [0.587, 0.439, 0.179], [0.640, 0.860, 0.750], [0.939, 0.087, 0.679], [0.321, 0.939, 0.913], [0.140, 0.750, 0.640], [0.179, 0.413, 0.439], [0.750, 0.750, 0.250], [0.000, 0.000, 0.000], [0.250, 0.640, 0.140], [0.679, 0.061, 0.087], [0.500, 0.500, 0.500], [0.250, 0.250, 0.750], [0.750, 0.360, 0.860], [0.061, 0.913, 0.321], [0.913, 0.679, 0.939], [0.413, 0.561, 0.821], [0.360, 0.140, 0.250]]}

# 23
{"formula": "Pm2NdZn2Ge2", "functional": "PBE", "state": "optimized geometry", "sg": "R-3m (166)", "delta_e_f_ev_per_atom": -0.4877, "energy_ev_per_atom": -4.21, "density_g_cm3": 6.7, "lattice_angstrom": [[4.195, 0.000, 0.000], [2.097, 3.633, 0.000], [2.097, 1.211, 11.507]], "species": ["Nd", "Zn", "Ge", "Ge", "Pm", "Zn", "Pm"], "fractional_positions": [[0.000, 0.000, 0.000], [0.395, 0.395, 0.814], [0.729, 0.729, 0.813], [0.271, 0.271, 0.187], [0.878, 0.878, 0.367], [0.605, 0.605, 0.186], [0.122, 0.122, 0.633]]}

# 24
{"formula": "BaNa2NbP", "functional": "PBE", "state": "optimized geometry", "sg": "P4/mmm (123)", "delta_e_f_ev_per_atom": 1.7425, "energy_ev_per_atom": -2.27, "density_g_cm3": 3.1, "lattice_angstrom": [[-3.499, -4.374, -0.423], [3.839, -3.235, 1.700], [-1.662, 0.816, 5.303]], "species": ["P", "Na", "Na", "Nb", "Ba"], "fractional_positions": [[0.500, 0.500, 0.500], [0.500, 0.000, 0.000], [0.000, 0.000, 0.500], [0.000, 0.500, 0.000], [0.000, 0.000, 0.000]]}

Number 1: M_tot 8.0 μB/f.u.. Number 2: M_tot 11.0 μB/f.u.. Number 3: M_tot 0.0 μB/f.u.. Number 4: M_tot 0.0 μB/f.u.. Number 5: M_tot 0.0 μB/f.u.. Number 6: M_tot 0.0 μB/f.u.. Number 7: M_tot 4.9 μB/f.u.. Number 8: M_tot 0.0 μB/f.u.. Number 9: M_tot 0.0 μB/f.u.. Number 10: M_tot 0.0 μB/f.u.. Number 11: M_tot 0.0 μB/f.u.. Number 12: M_tot 0.0 μB/f.u.. Number 13: M_tot 0.9 μB/f.u.. Number 14: M_tot 0.0 μB/f.u.. Number 15: M_tot 0.0 μB/f.u.. Number 16: M_tot 0.0 μB/f.u.. Number 17: M_tot 0.0 μB/f.u.. Number 18: M_tot 2.9 μB/f.u.. Number 19: M_tot 0.0 μB/f.u.. Number 20: M_tot 0.0 μB/f.u.. Number 21: M_tot 1.7 μB/f.u.. Number 22: M_tot 0.0 μB/f.u.. Number 23: M_tot 0.7 μB/f.u.. Number 24: M_tot 1.5 μB/f.u..